(1)
{
  "formula": "PmNpAsPd",
  "functional": "GGA-PBE",
  "state": "relaxed",
  "lattice_angstrom": [[-1.9575, 4.1827, 2.0816], [-0.0495, 0.5376, 5.0367], [3.0437, 3.3893, 2.2154]],
  "species": ["Pd", "Np", "Pm", "As"],
  "frac_coords": [[0.5000, 0.5000, 0.5000], [0.7500, 0.7500, 0.7500], [0.2500, 0.2500, 0.2500], [0.0000, 0.0000, 0.0000]],
  "formation_enthalpy_0k_ev_per_fu": -2.1,
  "magmom_total_mub_per_cell": 5.0,
  "mass_density_g_cm3": 10.2,
  "space_group": "F-43m"
}

(2)
{
  "formula": "Pr2NpAs4Pd3",
  "functional": "GGA-PBE",
  "state": "relaxed",
  "lattice_angstrom": [[-1.5146, 4.0530, 1.1250], [0.3701, -1.0627, 4.3267], [10.2490, 3.8134, 0.0598]],
  "species": ["Pr", "Pr", "Pd", "Pd", "Pd", "As", "As", "As", "As", "Np"],
  "frac_coords": [[0.0000, 0.5000, 0.7820], [0.5000, 0.0000, 0.2180], [0.0000, 0.0000, 0.5000], [0.5000, 0.0000, 0.8872], [0.0000, 0.5000, 0.1128], [0.5000, 0.5000, 0.0000], [0.0000, 0.0000, 0.0000], [0.5000, 0.0000, 0.6588], [0.0000, 0.5000, 0.3412], [0.5000, 0.5000, 0.5000]],
  "formation_enthalpy_0k_ev_per_fu": -7.4,
  "magmom_total_mub_per_cell": 4.2,
  "mass_density_g_cm3": 8.6,
  "space_group": "P-4m2"
}

(3)
{
  "formula": "NpAs2Pd2Pt",
  "functional": "GGA-PBE",
  "state": "relaxed",
  "lattice_angstrom": [[3.9808, 0.0000, 0.0000], [0.0000, 6.5612, 0.0000], [0.0000, 0.0000, 8.3289]],
  "species": ["Pt", "Pt", "Pd", "Pd", "Pd", "Pd", "As", "As", "As", "As", "Np", "Np"],
  "frac_coords": [[0.5000, 0.6686, 0.3212], [0.5000, 0.1686, 0.6788], [0.0000, 0.8694, 0.8404], [0.5000, 0.5152, 0.9007], [0.0000, 0.3694, 0.1596], [0.5000, 0.0152, 0.0993], [0.5000, 0.7728, 0.6608], [0.0000, 0.7488, 0.1176], [0.0000, 0.2488, 0.8824], [0.5000, 0.2728, 0.3392], [0.0000, 0.9708, 0.4330], [0.0000, 0.4708, 0.5670]],
  "formation_enthalpy_0k_ev_per_fu": -2.7,
  "magmom_total_mub_per_cell": 7.7,
  "mass_density_g_cm3": 12.1,
  "space_group": "Pmc2_1"
}

(4)
{
  "formula": "PuNpAs2Pd2",
  "functional": "GGA-PBE",
  "state": "relaxed",
  "lattice_angstrom": [[-2.5588, 0.3331, 3.5210], [0.8866, -3.9259, -1.6904], [6.0134, -0.5458, 4.4216]],
  "species": ["Pu", "As", "As", "Pd", "Pd", "Np"],
  "frac_coords": [[0.0000, 0.0000, 0.0000], [0.3333, 0.6667, 0.2606], [0.6667, 0.3333, 0.7394], [0.3333, 0.6667, 0.7536], [0.6667, 0.3333, 0.2464], [0.0000, 0.0000, 0.5000]],
  "formation_enthalpy_0k_ev_per_fu": -4.2,
  "magmom_total_mub_per_cell": 9.1,
  "mass_density_g_cm3": 11.3,
  "space_group": "P-3m1"
}

(5)
{
  "formula": "Np2As4Pd3Rh",
  "functional": "GGA-PBE",
  "state": "relaxed",
  "lattice_angstrom": [[4.3932, 0.0000, 0.0000], [0.0000, 4.3932, 0.0000], [0.0000, 0.0000, 9.8167]],
  "species": ["As", "As", "As", "As", "Pd", "Pd", "Pd", "Np", "Np", "Rh"],
  "frac_coords": [[0.0000, 0.5000, 0.3695], [0.0000, 0.0000, 0.0000], [0.5000, 0.0000, 0.6305], [0.5000, 0.5000, 0.0000], [0.0000, 0.0000, 0.5000], [0.0000, 0.5000, 0.1230], [0.5000, 0.0000, 0.8770], [0.5000, 0.0000, 0.2470], [0.0000, 0.5000, 0.7530], [0.5000, 0.5000, 0.5000]],
  "formation_enthalpy_0k_ev_per_fu": -4.6,
  "magmom_total_mub_per_cell": 8.3,
  "mass_density_g_cm3": 10.5,
  "space_group": "P-4m2"
}

(6)
{
  "formula": "NpAs2Pd2Rh",
  "functional": "GGA-PBE",
  "state": "relaxed",
  "lattice_angstrom": [[-1.9491, 1.4324, -3.1169], [-5.5116, 0.4404, 3.6489], [2.0431, 7.5207, 2.1785]],
  "species": ["Np", "Np", "As", "As", "As", "As", "Pd", "Pd", "Pd", "Pd", "Rh", "Rh"],
  "frac_coords": [[0.0000, 0.4706, 0.5680], [0.0000, 0.9706, 0.4320], [0.5000, 0.7748, 0.6524], [0.0000, 0.2445, 0.8792], [0.5000, 0.2748, 0.3476], [0.0000, 0.7445, 0.1208], [0.0000, 0.3721, 0.1624], [0.5000, 0.5147, 0.8998], [0.5000, 0.0147, 0.1002], [0.0000, 0.8721, 0.8376], [0.5000, 0.6688, 0.3284], [0.5000, 0.1688, 0.6716]],
  "formation_enthalpy_0k_ev_per_fu": -2.7,
  "magmom_total_mub_per_cell": 7.2,
  "mass_density_g_cm3": 11.0,
  "space_group": "Pmc2_1"
}

(7)
{
  "formula": "NpAs2PdRh2",
  "functional": "GGA-PBE",
  "state": "relaxed",
  "lattice_angstrom": [[-1.4995, 4.0293, -0.3706], [-1.2523, -3.0344, -2.8010], [-4.9300, -1.4840, 3.8118]],
  "species": ["Rh", "Rh", "Pd", "Np", "As", "As"],
  "frac_coords": [[0.3333, 0.6667, 0.6761], [0.6667, 0.3333, 0.3239], [0.0000, 0.0000, 0.5000], [0.0000, 0.0000, 0.0000], [0.6667, 0.3333, 0.7384], [0.3333, 0.6667, 0.2616]],
  "formation_enthalpy_0k_ev_per_fu": -2.9,
  "magmom_total_mub_per_cell": 3.5,
  "mass_density_g_cm3": 11.2,
  "space_group": "P-3m1"
}

(8)
{
  "formula": "NpAs2PdRu",
  "functional": "GGA-PBE",
  "state": "relaxed",
  "lattice_angstrom": [[-1.8856, 2.3702, -2.6435], [-2.6632, 1.0353, 2.8279], [5.5469, 2.5866, 1.4193]],
  "species": ["As", "As", "Ru", "Pd", "Np"],
  "frac_coords": [[0.6171, 0.6171, 0.2341], [0.3829, 0.3829, 0.7659], [0.2500, 0.7500, 0.5000], [0.7500, 0.2500, 0.5000], [0.0000, 0.0000, 0.0000]],
  "formation_enthalpy_0k_ev_per_fu": -1.8,
  "magmom_total_mub_per_cell": 4.1,
  "mass_density_g_cm3": 10.9,
  "space_group": "I-4m2"
}

(9)
{
  "formula": "NpAsPdS",
  "functional": "GGA-PBE",
  "state": "relaxed",
  "lattice_angstrom": [[4.3965, 0.0000, 0.0000], [0.0000, 4.3965, 0.0000], [0.0000, 0.0000, 8.2093]],
  "species": ["S", "S", "Np", "Np", "As", "As", "Pd", "Pd"],
  "frac_coords": [[0.0000, 0.0000, 0.0000], [0.5000, 0.5000, 0.0000], [0.5000, 0.0000, 0.1894], [0.0000, 0.5000, 0.8106], [0.0000, 0.5000, 0.3406], [0.5000, 0.0000, 0.6594], [0.5000, 0.5000, 0.5000], [0.0000, 0.0000, 0.5000]],
  "magmom_total_mub_per_cell": 7.3,
  "mass_density_g_cm3": 9.4,
  "raw_formation_energy_kj_per_mol_atoms": -74.5,
  "space_group": "P4/nmm"
}

(10)
{
  "formula": "NpSb2As2Pd7",
  "functional": "GGA-PBE",
  "state": "relaxed",
  "lattice_angstrom": [[3.9931, -0.0028, 0.0138], [0.0021, 3.9931, 0.0138], [1.9340, 1.9316, 15.4467]],
  "species": ["Pd", "Pd", "Pd", "Pd", "Pd", "Pd", "Pd", "As", "As", "Sb", "Sb", "Np"],
  "frac_coords": [[0.6998, 0.6998, 0.6006], [0.9287, 0.4287, 0.1434], [0.5000, 0.5000, 0.0000], [0.4287, 0.9287, 0.1434], [0.5713, 0.0713, 0.8566], [0.0713, 0.5713, 0.8566], [0.3002, 0.3002, 0.3994], [0.3805, 0.3805, 0.2402], [0.6195, 0.6195, 0.7598], [0.2134, 0.2134, 0.5728], [0.7866, 0.7866, 0.4272], [0.0000, 0.0000, 0.0000]],
  "magmom_total_mub_per_cell": 3.5,
  "mass_density_g_cm3": 9.3,
  "raw_formation_energy_kj_per_mol_atoms": -32.0,
  "space_group": "C2/m"
}

(11)
{
  "formula": "NpAsPdSe",
  "functional": "GGA-PBE",
  "state": "relaxed",
  "lattice_angstrom": [[4.0814, 0.0000, 0.0000], [0.0000, 4.0814, 0.0000], [0.0000, 0.0000, 9.3741]],
  "species": ["Pd", "Pd", "Se", "Se", "Np", "Np", "As", "As"],
  "frac_coords": [[0.5000, 0.5000, 0.5000], [0.0000, 0.0000, 0.5000], [0.5000, 0.5000, 0.0000], [0.0000, 0.0000, 0.0000], [0.0000, 0.5000, 0.7696], [0.5000, 0.0000, 0.2304], [0.5000, 0.0000, 0.6831], [0.0000, 0.5000, 0.3169]],
  "magmom_total_mub_per_cell": 6.3,
  "mass_density_g_cm3": 10.6,
  "raw_formation_energy_kj_per_mol_atoms": -63.6,
  "space_group": "P4/nmm"
}

(12)
{
  "formula": "Sr2NpAs3Pd4",
  "functional": "GGA-PBE",
  "state": "relaxed",
  "lattice_angstrom": [[-1.6474, 2.8198, 2.8406], [1.2873, -2.5353, 3.2633], [10.1385, 5.5827, 0.3379]],
  "species": ["Np", "Pd", "Pd", "Pd", "Pd", "Sr", "Sr", "As", "As", "As"],
  "frac_coords": [[0.5000, 0.5000, 0.5000], [0.0000, 0.0000, 0.0000], [0.5000, 0.0000, 0.6589], [0.5000, 0.5000, 0.0000], [0.0000, 0.5000, 0.3411], [0.5000, 0.0000, 0.2217], [0.0000, 0.5000, 0.7783], [0.0000, 0.5000, 0.1234], [0.5000, 0.0000, 0.8766], [0.0000, 0.0000, 0.5000]],
  "formation_enthalpy_0k_ev_per_fu": -6.8,
  "magmom_total_mub_per_cell": 4.2,
  "mass_density_g_cm3": 8.1,
  "space_group": "P-4m2"
}